V4Cr2W: optimized geometry, PBE-GGA.

abc: 5.022 5.022 5.022
angles: 105.25 105.25 118.28
Fractional positions:
V  0.197  0.197  0.394
V  0.197  0.803  0.000
V  0.803  0.197  0.000
V  0.803  0.803  0.606
Cr  0.250  0.750  0.500
Cr  0.750  0.250  0.500
W  0.500  0.500  0.000

Summary:
The calculation puts the energy above the lowest structure with this stoichiometry at 0.0 meV/atom. The calculation puts the formation energy at 314.3 meV per atom. As for the theoretical density: 8.53 g/cm3.


LaTh4Tl5: optimized geometry, PBE-GGA.

abc: 3.562 3.562 23.234
angles: 90.00 90.00 90.00
Fractional positions:
La  0.000  0.000  0.000
Th  0.000  0.000  0.202
Th  0.000  0.000  0.401
Th  0.000  0.000  0.599
Th  0.000  0.000  0.798
Tl  0.500  0.500  0.102
Tl  0.500  0.500  0.301
Tl  0.500  0.500  0.500
Tl  0.500  0.500  0.699
Tl  0.500  0.500  0.898

Summary:
The calculation puts the formation energy at -197.0 meV per atom. As for the theoretical density: 11.77 g/cm3.


What is the theoretical density in the second record?
11.77 g/cm3